VASP calculation (PBE with a Hubbard U) on FeClF after structural relaxation.

Calculated values
Fermi-level density of states = 0.00 states/eV/atom
Energy above the most stable polymorph in this dataset = 0.020 eV/atom
Calculated volume = 230 Å³ per cell
Electronic total energy = -4.86 eV per atom

Cell: 11.8283 3.4801 5.9437 Å, 90.00 109.88 90.00°
Closest atoms and distances in Å follow each position.
Space group C2/m (No. 12)
Inequivalent atoms, fractional coordinates:
Fe: 0.2455 0.0000 0.2579 x4  3 F 2.10-2.18
Cl: 0.1189 0.0000 0.8269 x4  3 Fe 2.49-2.53
F: 0.1735 0.5000 0.3526 x4  3 Fe 2.10-2.18